*a*
Crystalline Dy2ErIn at its relaxed geometry, computed with GGA-PBE.

abc: 3.5600 3.5600 9.2216
angles: 90.00 90.00 90.00
Last column: nearest neighbours and their distance in Å.
Fractional positions:
Dy 0.0000 0.0000 0.7709  4 In 3.29, 4 Er 3.55, 4 Dy 3.56
In 0.5000 0.5000 0.0000  8 Dy 3.29, 4 In 3.56
Dy 0.0000 0.0000 0.2291  4 In 3.29, 4 Er 3.55, 4 Dy 3.56
Er 0.5000 0.5000 0.5000  8 Dy 3.55, 4 Er 3.56

Values from the calculation:
* space-group type: No. 123
* Fermi-level density of states: 1.174 states/eV/atom

*b*
Crystalline Dy2ErIn at its relaxed geometry, computed with GGA-PBE.

abc: 4.8272 4.8300 4.8300
angles: 90.00 90.00 90.00
Last column: nearest neighbours and their distance in Å.
Fractional positions:
In 0.5000 0.0000 0.0000  8 Dy 3.41, 4 Er 3.42
Dy 0.0000 0.0000 0.5000  4 In 3.41, 4 Er 3.41, 4 Dy 3.42
Dy 0.0000 0.5000 0.0000  4 Er 3.41, 4 In 3.41, 4 Dy 3.42
Er 0.5000 0.5000 0.5000  8 Dy 3.41, 4 In 3.42

Values from the calculation:
* space-group type: No. 123
* Fermi-level density of states: 1.476 states/eV/atom

The most stable arrangement is *b*, and the next structure is 39 meV/atom less stable.

*a*
Crystalline Dy2ErIn at its relaxed geometry, computed with GGA-PBE.

abc: 5.4302 5.4302 5.4302
angles: 60.00 60.00 60.00
Last column: nearest neighbours and their distance in Å.
Fractional positions:
Dy 0.7500 0.7500 0.7500  4 Er 3.33, 4 In 3.33
In 0.5000 0.5000 0.5000  8 Dy 3.33
Dy 0.2500 0.2500 0.2500  4 In 3.33, 4 Er 3.33
Er 0.0000 0.0000 0.0000  8 Dy 3.33

Values from the calculation:
* space-group type: No. 225
* Fermi-level density of states: 1.658 states/eV/atom

*b*
Crystalline Dy2ErIn at its relaxed geometry, computed with GGA-PBE.

abc: 3.5689 3.5689 11.0423
angles: 80.70 80.70 60.00
Last column: nearest neighbours and their distance in Å.
Fractional positions:
Dy 0.0793 0.0793 0.7621  3 In 3.31, 3 Er 3.51, 6 Dy 3.57
Dy 0.2542 0.2542 0.2374  3 In 3.29, 3 Er 3.51, 6 Dy 3.57
Er 0.5000 0.5000 0.4999  6 Dy 3.51, 6 Er 3.57
In 0.6665 0.6665 0.0005  6 Dy 3.29-3.31, 6 In 3.57

Values from the calculation:
* space-group type: No. 160
* Fermi-level density of states: 1.211 states/eV/atom

The most stable arrangement is *b*, and the next structure is 14 meV/atom less stable.

*a*
Crystalline DyEr3In2 at its relaxed geometry, computed with GGA-PBE.

abc: 3.3717 5.6119 9.8647
angles: 106.53 99.84 90.00
Last column: nearest neighbours and their distance in Å.
Fractional positions:
Er 0.0000 0.5000 0.0000  2 Dy 2.81
Er 0.1886 0.1886 0.3771  5 In 3.10-3.37, 2 Er 3.37
In 0.6447 0.6447 0.2894  7 Er 3.10-3.37, 2 In 3.37
Dy 0.0000 0.0000 0.0000  2 Er 2.81
In 0.3553 0.3553 0.7106  7 Er 3.10-3.37, 2 In 3.37
Er 0.8114 0.8114 0.6229  5 In 3.10-3.37, 2 Er 3.37

Values from the calculation:
* space-group type: No. 71
* Fermi-level density of states: 1.393 states/eV/atom

*b*
Crystalline DyEr3In2 at its relaxed geometry, computed with GGA-PBE.

abc: 3.4769 8.8888 21.9940
angles: 90.00 90.00 90.00
Last column: nearest neighbours and their distance in Å.
Fractional positions:
In 0.2500 0.4745 0.2084  6 Er 3.21-3.45, 2 Dy 3.47, 2 In 3.48
In 0.2500 0.7498 0.4570  6 Er 3.18-3.21, 2 Dy 3.24, 2 In 3.48
Er 0.2500 0.2154 0.8038  4 In 3.21-3.27, 2 Dy 3.33-3.40, 5 Er 3.43-3.52
Er 0.7500 0.5398 0.0756  5 In 3.19-3.45, 3 Er 3.43-3.48
Dy 0.2500 0.3425 0.6615  4 In 3.24-3.47, 2 Er 3.33-3.40, 2 Dy 3.48
Dy 0.2500 0.8425 0.8385  4 In 3.24-3.47, 2 Er 3.33-3.40, 2 Dy 3.48
In 0.2500 0.2498 0.0430  6 Er 3.18-3.21, 2 Dy 3.24, 2 In 3.48
Dy 0.7500 0.1575 0.1615  4 In 3.24-3.47, 2 Er 3.33-3.40, 2 Dy 3.48
In 0.7500 0.2502 0.5430  6 Er 3.18-3.21, 2 Dy 3.24, 2 In 3.48
In 0.7500 0.5255 0.7916  6 Er 3.21-3.45, 2 Dy 3.47, 2 In 3.48
Er 0.7500 0.0398 0.4244  5 In 3.19-3.45, 3 Er 3.43-3.48
Er 0.7500 0.6081 0.5638  3 In 3.18-3.21, 4 Er 3.48-3.52
In 0.7500 0.7502 0.9570  6 Er 3.18-3.21, 2 Dy 3.24, 2 In 3.48
Er 0.7500 0.1081 0.9362  3 In 3.18-3.21, 4 Er 3.48-3.52
Er 0.2500 0.9602 0.5756  5 In 3.19-3.45, 3 Er 3.43-3.48
Er 0.2500 0.4602 0.9244  5 In 3.19-3.45, 3 Er 3.43-3.48
Er 0.2500 0.3919 0.4362  3 In 3.18-3.21, 4 Er 3.48-3.52
Er 0.7500 0.7846 0.1962  4 In 3.21-3.27, 2 Dy 3.33-3.40, 5 Er 3.43-3.52
Er 0.2500 0.8919 0.0638  3 In 3.18-3.21, 4 Er 3.48-3.52
Er 0.7500 0.2846 0.3038  4 In 3.21-3.27, 2 Dy 3.33-3.40, 5 Er 3.43-3.52
Er 0.2500 0.7154 0.6962  4 In 3.21-3.27, 2 Dy 3.33-3.40, 5 Er 3.43-3.52
In 0.7500 0.0255 0.7084  6 Er 3.21-3.45, 2 Dy 3.47, 2 In 3.48
Dy 0.7500 0.6575 0.3385  4 In 3.24-3.47, 2 Er 3.33-3.40, 2 Dy 3.48
In 0.2500 0.9745 0.2916  6 Er 3.21-3.45, 2 Dy 3.47, 2 In 3.48

Values from the calculation:
* space-group type: No. 62
* Fermi-level density of states: 1.075 states/eV/atom

The most stable arrangement is *b*, and the next structure is 399 meV/atom less stable.

*a*
Crystalline Dy2Er3In3 at its relaxed geometry, computed with GGA-PBE.

abc: 3.7406 5.2985 11.5456
angles: 103.27 99.32 90.00
Last column: nearest neighbours and their distance in Å.
Fractional positions:
In 0.0000 0.5000 0.0000  8 Er 3.24-3.33
Dy 0.7351 0.2351 0.4701  2 In 3.19, 4 Dy 3.31
Dy 0.2649 0.7649 0.5299  2 In 3.19, 4 Dy 3.31
Er 0.6244 0.6244 0.2488  6 In 3.25-3.33, 4 Dy 3.61-3.63
Er 0.5000 0.0000 0.0000  8 In 3.22-3.24
In 0.8815 0.8815 0.7631  2 Dy 3.19, 6 Er 3.22-3.25
In 0.1185 0.1185 0.2369  2 Dy 3.19, 6 Er 3.22-3.25
Er 0.3756 0.3756 0.7512  6 In 3.25-3.33, 4 Dy 3.61-3.63

Values from the calculation:
* space-group type: No. 71
* Fermi-level density of states: 0.716 states/eV/atom

*b*
Crystalline Dy2Er3In3 at its relaxed geometry, computed with GGA-PBE.

abc: 4.8801 4.8830 9.1167
angles: 90.00 90.00 90.00
Last column: nearest neighbours and their distance in Å.
Fractional positions:
Er 0.5000 0.5000 0.2640  6 In 3.25-3.43, 2 Er 3.43, 4 Dy 3.45
In 0.5000 0.0000 0.5000  4 Er 3.25, 4 Dy 3.27, 4 In 3.45
In 0.0000 0.5000 0.5000  4 Er 3.25, 4 Dy 3.27, 4 In 3.45
Er 0.5000 0.0000 0.0000  4 Dy 3.41, 4 Er 3.43, 4 In 3.45
Er 0.5000 0.5000 0.7360  6 In 3.25-3.43, 2 Er 3.43, 4 Dy 3.45
Dy 0.0000 0.0000 0.7388  6 In 3.27-3.41, 6 Er 3.41-3.45
In 0.0000 0.5000 0.0000  4 Dy 3.41, 8 Er 3.43-3.45
Dy 0.0000 0.0000 0.2612  6 In 3.27-3.41, 6 Er 3.41-3.45

Values from the calculation:
* space-group type: No. 47
* Fermi-level density of states: 0.941 states/eV/atom

The most stable arrangement is *a*, and the next structure is 8 meV/atom less stable.

*a*
Crystalline DyEr3In4 at its relaxed geometry, computed with GGA-PBE.

abc: 3.4174 6.8117 10.3458
angles: 109.23 99.51 90.00
Last column: nearest neighbours and their distance in Å.
Fractional positions:
Er 0.7746 0.7744 0.5491  6 In 3.18-3.22, 2 Er 3.42
In 0.3731 0.1521 0.7463  1 In 3.01, 1 Dy 3.09, 5 Er 3.18-3.34
In 0.3732 0.5939 0.7464  1 In 3.01, 1 Dy 3.09, 5 Er 3.18-3.34
In 0.6268 0.4061 0.2536  1 In 3.01, 1 Dy 3.09, 5 Er 3.18-3.34
Dy 0.5000 0.0000 0.0000  4 In 3.09, 2 Dy 3.42
Er 0.2254 0.2256 0.4509  6 In 3.18-3.22, 2 Er 3.42
Er 0.0000 0.5000 0.0000  8 In 3.34, 2 Er 3.42
In 0.6269 0.8479 0.2537  1 In 3.01, 1 Dy 3.09, 5 Er 3.18-3.34

Values from the calculation:
* space-group type: No. 71
* Fermi-level density of states: 0.706 states/eV/atom

*b*
Crystalline DyEr3In4 at its relaxed geometry, computed with GGA-PBE.

abc: 5.4536 7.1513 10.7037
angles: 90.00 90.00 90.00
Last column: nearest neighbours and their distance in Å.
Fractional positions:
In 0.5000 0.2483 0.5000  6 Er 3.24-3.25, 2 Dy 3.27, 4 In 3.51-3.60
In 0.5000 0.7517 0.5000  6 Er 3.24-3.25, 2 Dy 3.27, 4 In 3.51-3.60
Er 0.4262 0.5000 0.2500  8 In 3.22-3.31, 2 Dy 3.54, 2 Er 3.58
In 0.9159 0.7516 0.2500  6 Er 3.22-3.31, 2 Dy 3.26, 4 In 3.51-3.60
In 0.0841 0.7516 0.7500  6 Er 3.22-3.31, 2 Dy 3.26, 4 In 3.51-3.60
In 0.0841 0.2484 0.7500  6 Er 3.22-3.31, 2 Dy 3.26, 4 In 3.51-3.60
In 0.9159 0.2484 0.2500  6 Er 3.22-3.31, 2 Dy 3.26, 4 In 3.51-3.60
Er 0.0000 0.0000 0.0000  8 In 3.24-3.25, 2 Er 3.53, 2 Dy 3.58
Er 0.5767 0.0000 0.7500  8 In 3.22-3.29, 4 Er 3.53-3.58
Er 0.4233 0.0000 0.2500  8 In 3.22-3.29, 4 Er 3.53-3.58
Dy 0.0000 0.5000 0.5000  8 In 3.26-3.27, 4 Er 3.54-3.58
In 0.5000 0.2483 0.0000  6 Er 3.24-3.25, 2 Dy 3.27, 4 In 3.51-3.60
Er 0.0000 0.0000 0.5000  8 In 3.24-3.25, 2 Er 3.53, 2 Dy 3.58
Er 0.5738 0.5000 0.7500  8 In 3.22-3.31, 2 Dy 3.54, 2 Er 3.58
In 0.5000 0.7517 0.0000  6 Er 3.24-3.25, 2 Dy 3.27, 4 In 3.51-3.60
Dy 0.0000 0.5000 0.0000  8 In 3.26-3.27, 4 Er 3.54-3.58

Values from the calculation:
* space-group type: No. 51
* Fermi-level density of states: 0.531 states/eV/atom

The most stable arrangement is *b*, and the next structure is 150 meV/atom less stable.

*a*
Crystalline Dy6ErIn at its relaxed geometry, computed with GGA-PBE.

abc: 4.8933 4.8933 9.9772
angles: 90.00 90.00 90.00
Last column: nearest neighbours and their distance in Å.
Fractional positions:
Dy 0.0000 0.5000 0.2548  2 In 3.46, 8 Dy 3.46-3.53, 2 Er 3.53
Dy 0.5000 0.0000 0.7452  8 Dy 3.46-3.53, 2 In 3.46, 2 Er 3.53
Dy 0.0000 0.5000 0.7452  2 In 3.46, 8 Dy 3.46-3.53, 2 Er 3.53
Dy 0.5000 0.5000 0.5000  8 Dy 3.46, 4 In 3.46
In 0.0000 0.0000 0.5000  12 Dy 3.46
Dy 0.5000 0.0000 0.2548  2 In 3.46, 8 Dy 3.46-3.53, 2 Er 3.53
Dy 0.5000 0.5000 0.0000  4 Er 3.46, 8 Dy 3.53
Er 0.0000 0.0000 0.0000  12 Dy 3.46-3.53

Values from the calculation:
* space-group type: No. 123
* Fermi-level density of states: 1.118 states/eV/atom

*b*
Crystalline Dy6ErIn at its relaxed geometry, computed with GGA-PBE.

abc: 6.5537 6.5537 9.2532
angles: 110.95 110.95 119.63
Last column: nearest neighbours and their distance in Å.
Fractional positions:
Dy 0.7464 0.3145 0.7516  1 In 3.28, 1 Er 3.28, 6 Dy 3.34-3.39
In 0.0000 0.0000 0.0000  2 Er 3.25, 6 Dy 3.26-3.28
Er 0.5000 0.5000 0.5000  2 In 3.25, 6 Dy 3.27-3.28
Dy 0.2536 0.6855 0.2484  1 In 3.28, 1 Er 3.28, 6 Dy 3.34-3.39
Dy 0.6855 0.2536 0.2484  1 In 3.28, 1 Er 3.28, 6 Dy 3.34-3.39
Dy 0.3145 0.7464 0.7516  1 In 3.28, 1 Er 3.28, 6 Dy 3.34-3.39
Dy 0.8188 0.8188 0.2484  1 In 3.26, 1 Er 3.27, 6 Dy 3.36-3.40
Dy 0.1812 0.1812 0.7516  1 In 3.26, 1 Er 3.27, 6 Dy 3.36-3.40

Values from the calculation:
* space-group type: No. 12
* Fermi-level density of states: 1.122 states/eV/atom

The most stable arrangement is *a*, and the next structure is 152 meV/atom less stable.